# 1
A plane-wave DFT calculation with meta-GGA SCAN was carried out for a crystal of TaTe2ClO relaxed with PBEsol.

Unit cell a=3.802 b=5.380 c=5.380 alpha=90.00 beta=90.00 gamma=90.00
Sites, in units of the cell vectors:
O  0.000  0.000  0.000
Te  0.000  0.000  0.500
Te  0.000  0.500  0.000
Ta  0.500  0.000  0.000
Cl  0.500  0.500  0.500

The density of states at the Fermi level comes out at 4.46 states/eV/f.u. The symmetry is P4/mmm, No. 123. As for the crystal system: tetragonal. The calculation puts the volume at 110.1 Å³/cell. The electronic total energy comes out at -154.66 eV/f.u.

# 2
A plane-wave DFT calculation with meta-GGA SCAN was carried out for a crystal of Tc3ClO relaxed with PBEsol.

Unit cell a=4.056 b=4.056 c=4.056 alpha=90.00 beta=90.00 gamma=90.00
Each line ends with the local moment (μB).
Sites, in units of the cell vectors:
O  0.000  0.000  0.000  -0.04
Cl  0.500  0.500  0.500  0.18
Tc  0.500  0.000  0.000  1.13
Tc  0.000  0.000  0.500  1.13
Tc  0.000  0.500  0.000  1.13

The density of states at the Fermi level comes out at 4.60 states/eV/f.u. The symmetry is Pm-3m, No. 221. As for the crystal system: cubic. The calculation puts the volume at 66.7 Å³/cell. The electronic total energy comes out at -115.29 eV/f.u.

# 3
A plane-wave DFT calculation with meta-GGA SCAN was carried out for a crystal of Te6Cl2O11 relaxed with PBEsol.

Unit cell a=6.701 b=6.701 c=15.236 alpha=90.00 beta=90.00 gamma=119.01
Sites, in units of the cell vectors:
O  0.809  0.057  0.094
O  0.584  0.584  0.114
Te  0.801  0.477  0.088
O  0.057  0.809  0.406
O  0.191  0.943  0.906
Te  0.092  0.092  0.360
O  0.943  0.191  0.906
Cl  0.527  0.856  0.750
O  0.488  0.179  0.038
O  0.512  0.821  0.538
Te  0.477  0.801  0.088
O  0.057  0.057  0.750
Te  0.801  0.477  0.412
Te  0.523  0.199  0.588
O  0.584  0.584  0.386
Te  0.908  0.908  0.640
Te  0.199  0.523  0.912
O  0.057  0.809  0.094
Te  0.523  0.199  0.912
O  0.179  0.488  0.462
O  0.821  0.512  0.538
Te  0.908  0.908  0.860
O  0.943  0.191  0.594
O  0.416  0.416  0.886
O  0.191  0.943  0.594
Cl  0.473  0.144  0.250
O  0.488  0.179  0.462
Te  0.199  0.523  0.588
Te  0.477  0.801  0.412
O  0.179  0.488  0.038
O  0.821  0.512  0.962
O  0.809  0.057  0.406
O  0.943  0.943  0.250
O  0.416  0.416  0.614
Te  0.092  0.092  0.140
Cl  0.144  0.473  0.250
Cl  0.856  0.527  0.750
O  0.512  0.821  0.962

The density of states at the Fermi level comes out at 0.00 states/eV/f.u. The symmetry is Cmcm, No. 63. As for the crystal system: orthorhombic. The calculation puts the volume at 598.2 Å³/cell. The electronic total energy comes out at -328.07 eV/f.u.

# 4
A plane-wave DFT calculation with meta-GGA SCAN was carried out for a crystal of TlTeCl2O relaxed with PBEsol.

Unit cell a=3.912 b=5.480 c=5.480 alpha=90.00 beta=90.00 gamma=90.00
Each line ends with the local moment (μB).
Sites, in units of the cell vectors:
Te  0.500  0.500  0.500  -0.72
Cl  0.000  0.500  0.000  -0.10
Cl  0.000  0.000  0.500  -0.10
Tl  0.000  0.000  0.000  0.00
O  0.500  0.000  0.000  -0.03

The density of states at the Fermi level comes out at 3.06 states/eV/f.u. The symmetry is P4/mmm, No. 123. As for the crystal system: tetragonal. The calculation puts the volume at 117.5 Å³/cell. The electronic total energy comes out at -131.85 eV/f.u.

# 5
A plane-wave DFT calculation with meta-GGA SCAN was carried out for a crystal of Zn2TeCl2O3 relaxed with PBEsol.

Unit cell a=7.569 b=10.442 c=15.417 alpha=90.00 beta=90.00 gamma=90.00
Sites, in units of the cell vectors:
Cl  0.664  0.576  0.715
Cl  0.578  0.707  0.122
O  0.859  0.809  0.560
O  0.810  0.443  0.012
Cl  0.164  0.924  0.715
O  0.810  0.057  0.488
Zn  0.896  0.239  0.473
Zn  0.160  0.498  0.389
Te  0.298  0.525  0.600
Zn  0.160  0.002  0.111
Zn  0.340  0.998  0.611
O  0.641  0.309  0.440
Zn  0.104  0.739  0.973
O  0.641  0.191  0.060
O  0.563  0.584  0.916
Zn  0.660  0.498  0.111
Cl  0.664  0.924  0.785
O  0.310  0.443  0.488
Zn  0.396  0.261  0.473
Te  0.798  0.975  0.600
O  0.190  0.943  0.512
O  0.190  0.557  0.988
Cl  0.922  0.293  0.622
Te  0.298  0.975  0.900
O  0.937  0.416  0.416
Cl  0.922  0.207  0.878
O  0.141  0.191  0.440
Cl  0.336  0.424  0.285
Cl  0.422  0.293  0.878
O  0.141  0.309  0.060
Te  0.702  0.475  0.400
Cl  0.164  0.576  0.785
Zn  0.896  0.261  0.027
O  0.310  0.057  0.012
O  0.859  0.691  0.940
Zn  0.340  0.502  0.889
O  0.690  0.943  0.988
Cl  0.578  0.793  0.378
Zn  0.396  0.239  0.027
O  0.437  0.416  0.084
O  0.063  0.584  0.584
Cl  0.078  0.707  0.378
O  0.063  0.916  0.916
Zn  0.104  0.761  0.527
Zn  0.660  0.002  0.389
Zn  0.840  0.998  0.889
Te  0.702  0.025  0.100
O  0.937  0.084  0.084
Zn  0.604  0.761  0.973
Zn  0.604  0.739  0.527
Te  0.798  0.525  0.900
O  0.359  0.809  0.940
Cl  0.836  0.424  0.215
O  0.563  0.916  0.584
O  0.359  0.691  0.560
Zn  0.840  0.502  0.611
Te  0.202  0.025  0.400
Te  0.202  0.475  0.100
Cl  0.422  0.207  0.622
O  0.437  0.084  0.416
Cl  0.078  0.793  0.122
Cl  0.336  0.076  0.215
Cl  0.836  0.076  0.285
O  0.690  0.557  0.512

The density of states at the Fermi level comes out at 0.00 states/eV/f.u. The symmetry is Pccn, No. 56. As for the crystal system: orthorhombic. The calculation puts the volume at 1218.5 Å³/cell. The electronic total energy comes out at -109.62 eV/f.u.

# 6
A plane-wave DFT calculation with meta-GGA SCAN was carried out for a crystal of Zr2Te4Cl2O11 relaxed with PBEsol.

Unit cell a=7.801 b=9.591 c=10.300 alpha=111.60 beta=108.59 gamma=96.82
Sites, in units of the cell vectors:
Cl  0.361  0.599  0.105
O  0.187  0.916  0.065
O  0.882  0.497  0.398
Te  0.001  0.261  0.996
Cl  0.897  0.120  0.626
O  0.666  0.661  0.479
Zr  0.628  0.891  0.892
O  0.919  0.382  0.166
Cl  0.103  0.880  0.374
O  0.542  0.316  0.152
O  0.118  0.503  0.602
O  0.823  0.747  0.825
O  0.595  0.000  0.110
Te  0.466  0.756  0.461
Te  0.793  0.985  0.271
O  0.164  0.124  0.913
Te  0.534  0.244  0.539
Te  0.207  0.015  0.729
Zr  0.111  0.388  0.379
O  0.405  0.000  0.890
O  0.278  0.581  0.404
Te  0.273  0.512  0.795
O  0.334  0.339  0.521
Te  0.727  0.488  0.205
O  0.055  0.821  0.666
O  0.836  0.876  0.087
O  0.722  0.419  0.596
O  0.458  0.684  0.848
O  0.499  0.856  0.666
O  0.501  0.144  0.334
Cl  0.639  0.401  0.895
O  0.945  0.179  0.334
O  0.177  0.253  0.175
Zr  0.372  0.109  0.108
O  0.081  0.618  0.834
O  0.813  0.084  0.935
Te  0.999  0.739  0.004
Zr  0.889  0.612  0.621

The density of states at the Fermi level comes out at 0.00 states/eV/f.u. The symmetry is P-1, No. 2. As for the crystal system: triclinic. The calculation puts the volume at 654.2 Å³/cell. The electronic total energy comes out at -331.63 eV/f.u.

# 7
A plane-wave DFT calculation with meta-GGA SCAN was carried out for a crystal of TiCl2O relaxed with PBEsol.

Unit cell a=3.298 b=3.298 c=8.360 alpha=78.62 beta=78.62 gamma=60.00
Each line ends with the local moment (μB).
Sites, in units of the cell vectors:
Cl  0.911  0.911  0.266  0.14
Cl  0.089  0.089  0.734  0.14
O  0.500  0.500  0.500  1.53
Ti  0.000  0.000  0.000  -0.29

The density of states at the Fermi level comes out at 3.12 states/eV/f.u. The symmetry is R-3m, No. 166. As for the crystal system: trigonal. The calculation puts the volume at 76.7 Å³/cell. The electronic total energy comes out at -37.77 eV/f.u.

# 8
A plane-wave DFT calculation with meta-GGA SCAN was carried out for a crystal of TlW2Cl6O2 relaxed with PBEsol.

Unit cell a=3.782 b=6.630 c=11.064 alpha=71.77 beta=80.16 gamma=73.43
Each line ends with the local moment (μB).
Sites, in units of the cell vectors:
Cl  0.866  0.224  0.044  0.02
W  0.002  0.164  0.832  1.17
Cl  0.858  0.918  0.365  0.06
Cl  0.142  0.082  0.635  0.06
Cl  0.134  0.776  0.956  0.02
Cl  0.864  0.541  0.731  0.06
O  0.497  0.841  0.164  -0.07
Cl  0.136  0.459  0.269  0.06
O  0.503  0.159  0.836  -0.07
W  0.998  0.836  0.168  1.17
Tl  0.500  0.500  0.500  0.02

The density of states at the Fermi level comes out at 2.08 states/eV/f.u. The symmetry is C2/m, No. 12. As for the crystal system: monoclinic. The calculation puts the volume at 251.6 Å³/cell. The electronic total energy comes out at -286.16 eV/f.u.

# 9
A plane-wave DFT calculation with meta-GGA SCAN was carried out for a crystal of VClO relaxed with PBEsol.

Unit cell a=3.277 b=3.832 c=7.903 alpha=90.00 beta=90.00 gamma=90.00
Each line ends with the local moment (μB).
Sites, in units of the cell vectors:
V  0.000  0.000  0.603  1.86
O  0.500  0.000  0.443  0.02
O  0.000  0.500  0.557  0.02
V  0.500  0.500  0.397  1.86
Cl  0.000  0.500  0.186  0.00
Cl  0.500  0.000  0.814  0.00

The density of states at the Fermi level comes out at 0.27 states/eV/f.u. The symmetry is Pmmn, No. 59. As for the crystal system: orthorhombic. The calculation puts the volume at 99.3 Å³/cell. The electronic total energy comes out at -38.20 eV/f.u.

# 10
A plane-wave DFT calculation with meta-GGA SCAN was carried out for a crystal of WCl2O2 relaxed with PBEsol.

Unit cell a=3.861 b=7.632 c=8.083 alpha=90.00 beta=90.00 gamma=90.00
Sites, in units of the cell vectors:
Cl  0.483  0.546  0.280
O  0.495  0.782  0.000
Cl  0.517  0.046  0.280
O  0.008  0.531  0.000
Cl  0.483  0.546  0.720
O  0.992  0.031  0.000
W  0.549  0.516  0.000
O  0.505  0.282  0.000
W  0.451  0.016  0.000
Cl  0.517  0.046  0.720

The density of states at the Fermi level comes out at 0.00 states/eV/f.u. The symmetry is Pmc2_1, No. 26. As for the crystal system: orthorhombic. The calculation puts the volume at 238.2 Å³/cell. The electronic total energy comes out at -106.46 eV/f.u.

# 11
A plane-wave DFT calculation with meta-GGA SCAN was carried out for a crystal of WClO2 relaxed with PBEsol.

Unit cell a=5.946 b=5.946 c=5.946 alpha=60.00 beta=60.00 gamma=60.00
Sites, in units of the cell vectors:
O  0.125  0.125  0.125
O  0.125  0.625  0.125
O  0.625  0.125  0.125
Cl  0.500  0.500  0.500
Cl  0.750  0.750  0.750
W  0.000  0.000  0.000
O  0.125  0.125  0.625
W  0.250  0.250  0.250

The density of states at the Fermi level comes out at 2.09 states/eV/f.u. The symmetry is Fd-3m, No. 227. As for the crystal system: cubic. The calculation puts the volume at 148.6 Å³/cell. The electronic total energy comes out at -95.56 eV/f.u.

# 12
A plane-wave DFT calculation with meta-GGA SCAN was carried out for a crystal of W3ClO relaxed with PBEsol.

Unit cell a=4.331 b=4.331 c=4.331 alpha=90.00 beta=90.00 gamma=90.00
Each line ends with the local moment (μB).
Sites, in units of the cell vectors:
Cl  0.000  0.000  0.000  0.00
W  0.500  0.000  0.000  0.09
O  0.500  0.500  0.500  0.65
W  0.000  0.000  0.500  0.09
W  0.000  0.500  0.000  0.09

The density of states at the Fermi level comes out at 2.90 states/eV/f.u. The symmetry is Pm-3m, No. 221. As for the crystal system: cubic. The calculation puts the volume at 81.2 Å³/cell. The electronic total energy comes out at -211.12 eV/f.u.

Q: What is the formula in the second record?
A: Tc3ClO